Record 1
VASP calculation (GGA-PBE) on crystalline SrRe2Ag at its relaxed geometry.

a b c (Å): 6.6965 6.6965 6.6965
angles (deg): 90.00 90.00 90.00
Positions (direct):
Sr1 0.0000 0.0000 0.0000
Sr2 0.0000 0.5000 0.5000
Sr3 0.5000 0.0000 0.5000
Sr4 0.5000 0.5000 0.0000
Re1 0.0000 0.0000 0.5000
Re2 0.0000 0.5000 0.0000
Re3 0.2500 0.2500 0.2500
Re4 0.2500 0.7500 0.7500
Re5 0.5000 0.0000 0.0000
Re6 0.5000 0.5000 0.5000
Re7 0.7500 0.2500 0.7500
Re8 0.7500 0.7500 0.2500
Ag1 0.2500 0.2500 0.7500
Ag2 0.2500 0.7500 0.2500
Ag3 0.7500 0.2500 0.2500
Ag4 0.7500 0.7500 0.7500

Calculated values
- ΔH_f (0 K): 1.001 eV per atom
- Fermi-level density of states: 1.115 states/eV/atom
- Energy: -6.356 eV/atom
- SG: No. 216

Record 2
VASP calculation (GGA-PBE) on crystalline SrRe2Ag at its relaxed geometry.

a b c (Å): 3.1564 4.5837 5.2712
angles (deg): 90.00 90.00 90.00
Positions (direct):
Sr1 0.0000 0.0000 0.0000
Re1 0.0000 0.5000 0.5000
Re2 0.5000 0.0000 0.5000
Ag1 0.5000 0.5000 0.0000

Calculated values
- ΔH_f (0 K): 0.949 eV per atom
- Fermi-level density of states: 0.887 states/eV/atom
- Energy: -6.408 eV/atom
- SG: No. 47

Record 3
VASP calculation (GGA-PBE) on crystalline SrRe3Ag at its relaxed geometry.

a b c (Å): 4.9017 4.9017 4.9017
angles (deg): 90.00 90.00 90.00
Positions (direct):
Sr1 0.0000 0.0000 0.0000
Re1 0.0000 0.5000 0.5000
Re2 0.5000 0.0000 0.5000
Re3 0.5000 0.5000 0.0000
Ag1 0.5000 0.5000 0.5000

Calculated values
- ΔH_f (0 K): 2.608 eV per atom
- Fermi-level density of states: 2.208 states/eV/atom
- Energy: -5.767 eV/atom
- SG: No. 221

Record 4
VASP calculation (GGA-PBE) on crystalline SrRe2Ag at its relaxed geometry.

a b c (Å): 3.1500 3.1653 8.1599
angles (deg): 90.00 90.00 90.00
Positions (direct):
Sr1 0.0000 0.0000 0.0000
Re1 0.0000 0.0000 0.5449
Re2 0.5000 0.5000 0.7002
Ag1 0.5000 0.5000 0.3065

Calculated values
- ΔH_f (0 K): 0.436 eV per atom
- Fermi-level density of states: 0.621 states/eV/atom
- Energy: -6.921 eV/atom
- SG: No. 25

Record 5
VASP calculation (GGA-PBE) on crystalline SrRe2Ag at its relaxed geometry.

a b c (Å): 3.5375 3.5375 7.0072
angles (deg): 90.00 90.00 90.00
Positions (direct):
Sr1 0.0000 0.0000 0.0000
Re1 0.5000 0.5000 0.3358
Re2 0.5000 0.5000 0.6642
Ag1 0.0000 0.0000 0.5000

Calculated values
- ΔH_f (0 K): 1.138 eV per atom
- Fermi-level density of states: 0.733 states/eV/atom
- Energy: -6.219 eV/atom
- SG: No. 123

Record 6
VASP calculation (GGA-PBE) on crystalline SrRe2Ag at its relaxed geometry.

a b c (Å): 6.7227 6.7227 6.7227
angles (deg): 90.00 90.00 90.00
Positions (direct):
Sr1 0.0000 0.0000 0.0000
Sr2 0.0000 0.5000 0.5000
Sr3 0.5000 0.0000 0.5000
Sr4 0.5000 0.5000 0.0000
Re1 0.2500 0.2500 0.2500
Re2 0.2500 0.2500 0.7500
Re3 0.2500 0.7500 0.2500
Re4 0.2500 0.7500 0.7500
Re5 0.7500 0.2500 0.2500
Re6 0.7500 0.2500 0.7500
Re7 0.7500 0.7500 0.2500
Re8 0.7500 0.7500 0.7500
Ag1 0.0000 0.0000 0.5000
Ag2 0.0000 0.5000 0.0000
Ag3 0.5000 0.0000 0.0000
Ag4 0.5000 0.5000 0.5000

Calculated values
- ΔH_f (0 K): 1.766 eV per atom
- Fermi-level density of states: 1.766 states/eV/atom
- Energy: -5.592 eV/atom
- SG: No. 225

Record 7
VASP calculation (GGA-PBE) on crystalline SrRe2Ag at its relaxed geometry.

a b c (Å): 3.9048 3.9048 10.3557
angles (deg): 90.00 90.00 90.00
Positions (direct):
Sr1 0.0000 0.0000 0.0000
Sr2 0.5000 0.5000 0.5000
Re1 0.0000 0.5000 0.2500
Re2 0.0000 0.5000 0.7500
Re3 0.5000 0.0000 0.2500
Re4 0.5000 0.0000 0.7500
Ag1 0.0000 0.0000 0.5000
Ag2 0.5000 0.5000 0.0000

Calculated values
- ΔH_f (0 K): 1.092 eV per atom
- Fermi-level density of states: 0.703 states/eV/atom
- Energy: -6.265 eV/atom
- SG: No. 139

Record 8
VASP calculation (GGA-PBE) on crystalline SrRe2Ag at its relaxed geometry.

a b c (Å): 2.6817 4.7365 6.5047
angles (deg): 90.00 90.00 90.00
Positions (direct):
Sr1 0.0000 0.0000 0.0000
Re1 0.5000 0.5000 0.3171
Re2 0.5000 0.5000 0.6829
Ag1 0.0000 0.0000 0.5000

Calculated values
- ΔH_f (0 K): 0.989 eV per atom
- Fermi-level density of states: 0.932 states/eV/atom
- Energy: -6.368 eV/atom
- SG: No. 47

Record 9
VASP calculation (GGA-PBE) on crystalline Sr2ReAg at its relaxed geometry.

a b c (Å): 4.6002 4.6002 10.0841
angles (deg): 90.00 90.00 90.00
Positions (direct):
Sr1 0.0000 0.0000 0.0000
Sr2 0.0000 0.5000 0.2500
Sr3 0.5000 0.0000 0.7500
Sr4 0.5000 0.5000 0.5000
Re1 0.0000 0.0000 0.5000
Re2 0.5000 0.5000 0.0000
Ag1 0.0000 0.5000 0.7500
Ag2 0.5000 0.0000 0.2500

Calculated values
- ΔH_f (0 K): 0.894 eV per atom
- Fermi-level density of states: 1.335 states/eV/atom
- Energy: -3.772 eV/atom
- SG: No. 119

Record 10
VASP calculation (GGA-PBE) on crystalline SrRe2Ag at its relaxed geometry.

a b c (Å): 5.5760 10.2293 2.6598
angles (deg): 90.00 90.00 90.00
Positions (direct):
Sr1 0.0000 0.0000 0.0000
Sr2 0.5000 0.5000 0.0000
Re1 0.2500 0.2500 0.5000
Re2 0.2500 0.7500 0.5000
Re3 0.7500 0.2500 0.5000
Re4 0.7500 0.7500 0.5000
Ag1 0.0000 0.5000 0.0000
Ag2 0.5000 0.0000 0.0000

Calculated values
- ΔH_f (0 K): 1.061 eV per atom
- Fermi-level density of states: 0.581 states/eV/atom
- Energy: -6.296 eV/atom
- SG: No. 65

Record 11
VASP calculation (GGA-PBE) on crystalline SrRe2Ag at its relaxed geometry.

a b c (Å): 11.8611 2.8284 4.8932
angles (deg): 90.00 112.22 90.00
Positions (direct):
Sr1 0.0000 0.0000 0.0000
Sr2 0.5000 0.5000 0.0000
Re1 0.2284 0.0000 0.7285
Re2 0.2716 0.5000 0.2715
Re3 0.7284 0.5000 0.7285
Re4 0.7716 0.0000 0.2715
Ag1 0.0000 0.5000 0.5000
Ag2 0.5000 0.0000 0.5000

Calculated values
- ΔH_f (0 K): 0.869 eV per atom
- Fermi-level density of states: 0.635 states/eV/atom
- Energy: -6.489 eV/atom
- SG: No. 12

Record 12
VASP calculation (GGA-PBE) on crystalline SrRe3Ag at its relaxed geometry.

a b c (Å): 4.8045 4.8045 4.8045
angles (deg): 90.00 90.00 90.00
Positions (direct):
Sr1 0.0000 0.0000 0.0000
Re1 0.0000 0.0000 0.5000
Re2 0.0000 0.5000 0.0000
Re3 0.5000 0.0000 0.0000
Ag1 0.5000 0.5000 0.5000

Calculated values
- ΔH_f (0 K): 3.750 eV per atom
- Fermi-level density of states: 1.590 states/eV/atom
- Energy: -4.625 eV/atom
- SG: No. 221

Number 1: polymorph energy (0 for the lowest one) 0.565 eV per atom. Number 2: polymorph energy (0 for the lowest one) 0.513 eV per atom. Number 3: polymorph energy (0 for the lowest one) 0.000 eV per atom. Number 4: polymorph energy (0 for the lowest one) 0.000 eV per atom. Number 5: polymorph energy (0 for the lowest one) 0.702 eV per atom. Number 6: polymorph energy (0 for the lowest one) 1.330 eV per atom. Number 7: polymorph energy (0 for the lowest one) 0.656 eV per atom. Number 8: polymorph energy (0 for the lowest one) 0.553 eV per atom. Number 9: polymorph energy (0 for the lowest one) 0.222 eV per atom. Number 10: polymorph energy (0 for the lowest one) 0.626 eV per atom. Number 11: polymorph energy (0 for the lowest one) 0.433 eV per atom. Number 12: polymorph energy (0 for the lowest one) 1.142 eV per atom.